VASP calculation (PBE-GGA) on an optimized crystal structure of ZrOsRh2.

Structure (CIF):
```
data_ZrOsRh2
_space_group_name_H-M_alt 'C m m m'
_space_group_IT_number 65
_space_group_name_Hall '-C 2 2'
_cell_length_a 5.631
_cell_length_b 7.805
_cell_length_c 2.849
_cell_angle_alpha 90.00
_cell_angle_beta 90.00
_cell_angle_gamma 90.00
loop_
_atom_site_label
_atom_site_type_symbol
_atom_site_fract_x
_atom_site_fract_y
_atom_site_fract_z
_atom_site_occupancy
Zr1 Zr 0.000 0.000 0.000 1
Os1 Os 0.000 0.500 0.000 1
Rh1 Rh 0.250 0.250 0.500 1
```

Output
Polymorph energy (0 for the lowest one): 105 meV per atom
ΔH_f (0 K): -311 meV per atom
Magnetic moment: 0.00 μB/f.u.
Calculated total energy: -8.93 eV/atom